LaSiAs3 | PBE | relaxed

Structure (POSCAR):
```
LaSiAs3
1.0
6.124 0.000 0.000
0.000 26.626 0.000
0.000 0.000 6.005
La Si As
8 8 24
Cartesian
0.113 2.406 0.000
0.122 10.750 2.999
2.940 24.063 6.002
2.949 15.719 3.002
3.175 10.907 0.000
3.184 2.563 2.999
6.002 15.877 6.002
6.011 24.220 3.002
0.402 21.163 0.495
0.681 7.779 0.485
2.382 21.092 3.487
2.660 7.850 3.497
3.464 18.776 0.495
3.743 5.534 0.485
5.444 18.848 3.487
5.722 5.463 3.497
0.082 9.987 5.990
0.106 21.030 2.861
0.142 3.249 2.985
0.394 7.620 2.854
1.256 13.364 1.294
1.266 13.363 4.747
1.796 0.049 1.745
1.806 0.050 4.296
2.668 20.933 5.856
2.920 16.562 5.988
2.956 7.717 5.863
2.980 23.300 2.987
3.144 3.326 5.990
3.168 18.910 2.861
3.204 10.064 2.985
3.457 5.693 2.854
4.318 26.576 1.294
4.328 26.577 4.747
4.858 13.264 1.745
4.868 13.263 4.296
5.730 19.007 5.856
5.982 23.377 5.988
6.018 5.596 5.863
6.042 16.640 2.987
```

ΔE_f (raw) in eV per atom: -0.66
D(E_F) in states/eV per cell: 3.9
Energy above the lowest structure with this stoichiometry in eV per atom: 0.000
Magnetization in μB/atom: 0.000

PmSi2Ir | PBE | relaxed

Structure (POSCAR):
```
PmSi2Ir
1.0
-2.132 4.367 7.980
2.132 -4.367 7.980
2.132 4.367 -7.980
Pm Si Ir
4 8 4
Cartesian
0.000 0.000 3.282
0.000 2.144 0.000
0.000 6.590 0.000
0.000 0.000 12.678
2.132 0.000 1.199
2.132 -1.340 4.783
0.000 0.000 6.740
2.132 1.340 4.783
0.000 3.027 3.197
0.000 0.000 9.220
0.000 5.707 3.197
0.000 4.367 6.781
2.132 2.212 -2.331
2.132 2.212 2.331
0.000 2.155 5.649
0.000 2.155 10.311
```

ΔE_f (raw) in eV per atom: -0.91
D(E_F) in states/eV per cell: 5.3
Energy above the lowest structure with this stoichiometry in eV per atom: 0.000
Magnetization in μB/atom: 0.000

NaAcFeN2 | PBE | relaxed

Structure (POSCAR):
```
NaAcFeN2
1.0
2.488 -5.887 0.000
2.488 5.887 0.000
0.000 0.000 5.204
Na Ac Fe N
2 2 2 4
Cartesian
1.244 0.000 0.000
3.733 0.000 0.000
2.488 2.943 3.815
2.488 -2.943 1.389
0.000 0.000 2.602
2.488 0.000 2.602
2.488 4.409 1.467
2.488 1.478 1.467
2.488 -1.478 3.737
2.488 -4.409 3.737
```

ΔE_f (raw) in eV per atom: -0.10
D(E_F) in states/eV per cell: 4.8
Magnetization in μB/atom: 0.624

no.,volume (Å³ per atom),ρ (g/cm³)
1,24.479,5.31
2,18.570,8.79
3,15.247,7.27